Nd3RhI | PBE | optimized geometry

Unit cell a=3.979 b=9.667 c=8.592 alpha=90.00 beta=90.00 gamma=90.00
Sites, in units of the cell vectors:
I: 0.750 0.250 0.437
I: 0.250 0.750 0.563
Nd: 0.750 0.573 0.842
Rh: 0.750 0.250 0.988
Nd: 0.750 0.750 0.235
Nd: 0.750 0.927 0.842
Nd: 0.250 0.073 0.158
Nd: 0.250 0.250 0.765
Rh: 0.250 0.750 0.012
Nd: 0.250 0.427 0.158

## Properties
Crystal system: orthorhombic
Energy (eV per cell): -52.5